Record 1
DFT (PBE-GGA) results for a relaxed structure of LiPrPdPt.

extended XYZ file:
```
4
Lattice="-1.1805 -4.0195 -1.2645 3.2562 0.5187 2.8831 -4.9653 0.7841 2.1431" Properties=species:S:1:pos:R:3 pbc="T T T"
Li 0.6294 -0.3567 0.5461
Pr -2.3850 -1.9698 0.9164
Pd -2.0656 -0.5338 3.6251
Pt 0.5070 -2.8903 1.1426
```

total magnetization = 0.00 μB/f.u.
ΔH_f (0 K) = -16.98 kcal/mol of atoms
offset from the most stable computed form = 0.000 eV/atom
N(E_F) = 1.291 states/eV/f.u.
total DFT energy (no corrections) = -5.22 eV/atom



Record 2
DFT (PBE-GGA) results for a relaxed structure of Li3Pr2Pd12Pt.

extended XYZ file:
```
18
Lattice="-9.9798 -2.0861 -7.1567 -9.2497 -6.9990 -4.5412 -11.9729 -2.8232 -1.9610" Properties=species:S:1:pos:R:3 pbc="T T T"
Li -4.9899 -1.0430 -3.5784
Li -4.6249 -3.4995 -2.2706
Li -5.9865 -1.4116 -0.9805
Pr -19.9926 -7.6301 -8.7519
Pr -11.2098 -4.2782 -4.9071
Pd -17.9116 -6.0001 -6.2709
Pd -21.8089 -9.1896 -11.1743
Pd -22.7977 -9.5553 -8.5966
Pd -16.9576 -5.6473 -8.7577
Pd -23.1599 -7.1179 -9.8942
Pd -16.6082 -7.9988 -7.5059
Pd -13.2908 -5.9082 -7.3881
Pd -9.3936 -2.7187 -2.4847
Pd -8.4047 -2.3530 -5.0624
Pd -14.2448 -6.2610 -4.9013
Pd -8.0425 -4.7904 -3.7648
Pd -14.5942 -3.9095 -6.1531
Pt 0.0000 0.0000 0.0000
```

total magnetization = 0.00 μB/f.u.
ΔH_f (0 K) = -6.44 kcal/mol of atoms
N(E_F) = 11.340 states/eV/f.u.
total DFT energy (no corrections) = -4.93 eV/atom



Record 3
DFT (PBE-GGA) results for a relaxed structure of LiPrSbPd.

extended XYZ file:
```
4
Lattice="-3.8115 -2.9621 -0.8898 0.7694 -4.6997 -1.1892 -1.1407 -3.5560 3.1854" Properties=species:S:1:pos:R:3 pbc="T T T"
Pr -3.1371 -8.4133 0.8298
Sb -1.0457 -2.8044 0.2766
Pd -2.0914 -5.6089 0.5532
Li 0.0000 0.0000 0.0000
```

total magnetization = 0.00 μB/f.u.
N(E_F) = 2.104 states/eV/f.u.
total DFT energy (no corrections) = -4.72 eV/atom